(1)
Sr2ScCl2 at its PBEsol-relaxed geometry. Source: Alexandria via LeMat-Bulk, functional SCAN.

Mass density in Mg/m³: 3.01
DOS at the Fermi energy in states/eV/cell: 2.55
Energy relative to the elements, uncorrected in eV/atom: -1.09
SG: I4/mmm, No. 139

Unit cell a=6.0769 b=6.0769 c=6.0769 alpha=119.09 beta=119.09 gamma=91.58
With the nearest neighbours (Å) after each atom.
Element x y z (fractional)
Sr 0.2500 0.7500 0.5000  4 Cl 3.10
Sr 0.7500 0.2500 0.5000  4 Cl 3.10
Sc 0.0000 0.0000 0.0000  2 Cl 2.43
Cl 0.2872 0.2872 0.0000  1 Sc 2.43
Cl 0.7128 0.7128 0.0000  1 Sc 2.43

---

(2)
FeAs3 at its PBEsol-relaxed geometry. Source: Alexandria via LeMat-Bulk, functional SCAN.

Mass density in Mg/m³: 7.24
DOS at the Fermi energy in states/eV/cell: 2.05
Energy of formation from the pure elements in meV/atom: 194
SG: R-3m, No. 166

Unit cell a=8.5755 b=8.5755 c=8.5755 alpha=19.97 beta=19.97 gamma=19.97
With the nearest neighbours (Å) after each atom.
Element x y z (fractional)
Fe 0.0000 0.0000 0.0000  6 As 2.40
As 0.2670 0.2670 0.2670  3 Fe 2.40
As 0.5000 0.5000 0.5000  12 As 2.97-3.06
As 0.7330 0.7330 0.7330  3 Fe 2.40

---

(3)
NaMnPO4 at its PBEsol-relaxed geometry. Source: Alexandria via LeMat-Bulk, functional SCAN.

Mass density in Mg/m³: 3.61
DOS at the Fermi energy in states/eV/cell: 0.00
Energy relative to the elements, uncorrected in eV/atom: -2.44
SG: Pnma, No. 62

Unit cell a=9.0923 b=6.8684 c=5.0878 alpha=90.00 beta=90.00 gamma=90.00
With the nearest neighbours (Å) after each atom.
Element x y z (fractional)
Na 0.1494 0.2500 0.0263  4 O 2.32-2.45
Na 0.3506 0.7500 0.5263  4 O 2.32-2.45
Na 0.6494 0.2500 0.4737  4 O 2.32-2.45
Na 0.8506 0.7500 0.9737  4 O 2.32-2.45
Mn 0.0000 0.0000 0.5000  4 O 2.04-2.22
Mn 0.0000 0.5000 0.5000  4 O 2.04-2.22
Mn 0.5000 0.0000 0.0000  4 O 2.04-2.22
Mn 0.5000 0.5000 0.0000  4 O 2.04-2.22
P 0.1756 0.7500 0.0306  4 O 1.54-1.57
P 0.3244 0.2500 0.5306  4 O 1.54-1.57
P 0.6756 0.7500 0.4694  4 O 1.54-1.57
P 0.8244 0.2500 0.9694  4 O 1.54-1.57
O 0.1190 0.7500 0.7415  1 P 1.56
O 0.1201 0.5667 0.1745  1 P 1.54
O 0.1201 0.9333 0.1745  1 P 1.54
O 0.1519 0.2500 0.5447  1 P 1.57
O 0.3481 0.7500 0.0447  1 P 1.57
O 0.3799 0.0667 0.6745  1 P 1.54
O 0.3799 0.4333 0.6745  1 P 1.54
O 0.3810 0.2500 0.2415  1 P 1.56
O 0.6190 0.7500 0.7585  1 P 1.56
O 0.6201 0.5667 0.3255  1 P 1.54
O 0.6201 0.9333 0.3255  1 P 1.54
O 0.6519 0.2500 0.9553  1 P 1.57
O 0.8481 0.7500 0.4553  1 P 1.57
O 0.8799 0.0667 0.8255  1 P 1.54
O 0.8799 0.4333 0.8255  1 P 1.54
O 0.8810 0.2500 0.2585  1 P 1.56

---

(4)
BeAgSe2 at its PBEsol-relaxed geometry. Source: Alexandria via LeMat-Bulk, functional SCAN.

Mass density in Mg/m³: 5.60
DOS at the Fermi energy in states/eV/cell: 6.18
Energy relative to the elements, uncorrected in eV/atom: -0.37
SG: I-42d, No. 122

Unit cell a=6.4716 b=6.4716 c=6.4716 alpha=128.13 beta=128.13 gamma=76.41
With the nearest neighbours (Å) after each atom.
Element x y z (fractional)
Be 0.0000 0.0000 0.0000  4 Se 2.21
Be 0.7500 0.2500 0.5000  4 Se 2.21
Ag 0.2500 0.7500 0.5000  4 Se 2.55
Ag 0.5000 0.5000 0.0000  4 Se 2.55
Se 0.0740 0.1250 0.4490  2 Be 2.21
Se 0.3750 0.9260 0.0510  2 Be 2.21
Se 0.6760 0.6250 0.5510  2 Be 2.21
Se 0.8750 0.3240 0.9490  2 Be 2.21